No. 1
# Mg2ZnGa2Ag5

A geometry-optimized Mg2ZnGa2Ag5 structure (PBE, the Alexandria database).

Structure (POSCAR):
```
Mg2ZnGa2Ag5
1.0
-1.459 1.363 3.030
-9.217 -2.649 -3.245
0.993 -9.000 4.528
Ag Zn Ga Mg
10 2 4 4
Direct
0.500 0.000 0.500
0.500 0.500 0.000
0.500 0.199 0.036
0.500 0.301 0.536
0.500 0.801 0.964
0.500 0.964 0.199
0.500 0.036 0.801
0.500 0.464 0.301
0.500 0.536 0.699
0.500 0.699 0.464
0.000 0.500 0.500
0.000 0.000 0.000
0.000 0.362 0.138
0.000 0.638 0.862
0.000 0.138 0.638
0.000 0.862 0.362
0.000 0.331 0.831
0.000 0.169 0.331
0.000 0.831 0.669
0.000 0.669 0.169
```

## Properties
Mass density ... 7.078 Mg/m³
E_tot ... -2.52 eV per atom
Fermi-level density of states ... 1.7 states/eV/f.u.
E_form ... -0.045 eV/atom

No. 2
# ReSi2Se

A geometry-optimized ReSi2Se structure (PBE, the Alexandria database).

Structure (POSCAR):
```
ReSi2Se
1.0
3.128 0.000 0.000
0.000 3.128 0.000
0.000 0.000 6.324
Si Re Se
2 1 1
Direct
0.000 0.000 0.038
0.000 0.000 0.462
0.500 0.500 0.250
0.500 0.500 0.750
```

## Properties
Mass density ... 8.621 Mg/m³
E_tot ... -6.44 eV per atom
E_form (uncorrected) ... 0.25 eV/atom
Fermi-level density of states ... 1.6 states/eV/f.u.

No. 3
# Pr3DyEr3

A geometry-optimized Pr3DyEr3 structure (PBE, the Alexandria database).

Structure (POSCAR):
```
Pr3DyEr3
1.0
-5.241 -6.728 2.238
-1.544 -6.560 -5.686
3.366 -8.028 1.401
Pr Er Dy
6 6 2
Direct
0.183 0.936 0.703
0.703 0.183 0.936
0.064 0.297 0.817
0.936 0.703 0.183
0.297 0.817 0.064
0.817 0.064 0.297
0.429 0.941 0.271
0.941 0.271 0.429
0.729 0.571 0.059
0.271 0.429 0.941
0.059 0.729 0.571
0.571 0.059 0.729
0.351 0.351 0.351
0.649 0.649 0.649
```

## Properties
Mass density ... 7.539 Mg/m³
E_tot ... -4.38 eV per atom
Energy above the lowest structure with this stoichiometry ... 258 meV per atom
Fermi-level density of states ... 11.0 states/eV/f.u.
E_form ... 0.283 eV/atom

No. 4
# VOsI2

A geometry-optimized VOsI2 structure (PBE, the Alexandria database).

Structure (POSCAR):
```
VOsI2
1.0
0.000 3.400 3.400
3.400 0.000 3.400
3.400 3.400 0.000
I Os V
2 1 1
Direct
0.250 0.250 0.250
0.750 0.750 0.750
0.500 0.500 0.500
0.000 0.000 0.000
```

## Properties
Mass density ... 10.458 Mg/m³
E_tot ... -4.63 eV per atom
Energy above the lowest structure with this stoichiometry ... 188 meV per atom
E_form (uncorrected) ... 1.23 eV/atom
Fermi-level density of states ... 2.4 states/eV/f.u.

No. 5
# CaPPt3

A geometry-optimized CaPPt3 structure (PBE, the Alexandria database).

Structure (POSCAR):
```
CaPPt3
1.0
-2.971 -3.510 0.060
3.035 -2.608 -2.266
1.763 -1.424 4.001
P Pt Ca
1 3 1
Direct
0.000 0.000 0.000
0.500 0.000 0.000
0.000 0.500 0.000
0.000 0.000 0.500
0.500 0.500 0.500
```

## Properties
Mass density ... 11.208 Mg/m³
E_tot ... -5.68 eV per atom
Energy above the lowest structure with this stoichiometry ... 294 meV per atom
Fermi-level density of states ... 6.2 states/eV/f.u.
E_form ... -0.570 eV/atom

No. 6
# Sm2Tm2Al

A geometry-optimized Sm2Tm2Al structure (PBE, the Alexandria database).

Structure (POSCAR):
```
Sm2Tm2Al
1.0
4.919 0.000 0.000
2.459 4.260 0.000
2.459 1.420 8.511
Al Tm Sm
1 2 2
Direct
0.000 0.000 0.000
0.699 0.699 0.904
0.301 0.301 0.096
0.434 0.434 0.697
0.566 0.566 0.303
```

## Properties
Mass density ... 6.197 Mg/m³
E_tot ... -3.98 eV per atom
Fermi-level density of states ... 7.2 states/eV/f.u.
E_form ... 0.445 eV/atom

no.,total magnetization (μB per formula unit)
1,0.00
2,0.00
3,0.06
4,1.23
5,0.00
6,0.00